Record 1
This record from Alexandria describes a relaxed PmSi2Ni8 crystal. The functional is PBE.

Properties
The value obtained for the formation energy from raw total energies is 1.14 kcal/mol of atoms. For the density of states at the Fermi level, the calculation gives 9.19 states/eV/f.u.

Cell and atoms, written as CIF:
```
data_PmSi2Ni8
_chemical_formula_sum 'Pm1 Si2 Ni8'
_cell_length_a 4.858
_cell_length_b 4.858
_cell_length_c 7.555
_cell_angle_alpha 90.00
_cell_angle_beta 90.00
_cell_angle_gamma 90.00
_symmetry_space_group_name_H-M 'P 1'
_symmetry_Int_Tables_number 1
loop_
_symmetry_equiv_pos_as_xyz
'x,y,z'
loop_
_atom_site_label
_atom_site_type_symbol
_atom_site_fract_x
_atom_site_fract_y
_atom_site_fract_z
Pm1 Pm 0.500 0.500 0.500
Si1 Si 0.500 0.000 0.000
Si2 Si 0.000 0.500 0.000
Ni1 Ni 0.754 0.754 0.198
Ni2 Ni 0.754 0.246 0.802
Ni3 Ni 0.754 0.754 0.802
Ni4 Ni 0.754 0.246 0.198
Ni5 Ni 0.246 0.754 0.198
Ni6 Ni 0.246 0.754 0.802
Ni7 Ni 0.246 0.246 0.198
Ni8 Ni 0.246 0.246 0.802
```



Record 2
This record from Alexandria describes a relaxed BeSnOs crystal. The functional is PBE.

Properties
The energy above the most stable polymorph in this dataset is 81 meV per atom. For the density of states at the Fermi level, the calculation gives 0.23 states/eV/f.u. For the energy of formation, the calculation gives 0.0905 eV/atom.

Cell and atoms, written as CIF:
```
data_BeSnOs
_chemical_formula_sum 'Be2 Sn2 Os2'
_cell_length_a 3.235
_cell_length_b 3.235
_cell_length_c 9.037
_cell_angle_alpha 90.00
_cell_angle_beta 90.00
_cell_angle_gamma 90.00
_symmetry_space_group_name_H-M 'P 1'
_symmetry_Int_Tables_number 1
loop_
_symmetry_equiv_pos_as_xyz
'x,y,z'
loop_
_atom_site_label
_atom_site_type_symbol
_atom_site_fract_x
_atom_site_fract_y
_atom_site_fract_z
Be1 Be 0.000 0.500 0.250
Be2 Be 0.500 0.000 0.750
Os1 Os 0.000 0.500 0.750
Os2 Os 0.500 0.000 0.250
Sn1 Sn 0.000 0.000 0.500
Sn2 Sn 0.500 0.500 0.000
```